*A*
A plane-wave DFT calculation with GGA-PBE was carried out for a geometry-optimized CaMnZn3 structure.

magnetization: 2.06 μB per formula unit
N(E_F): 1.1884 states/eV per atom

Cell lengths 4.731, 4.731, 4.731 Å; angles 90.00, 90.00, 90.00 degrees
Fractional coordinates of all 5 atoms:
Ca1 0.000 0.000 0.000
Mn1 0.500 0.500 0.500
Zn1 0.000 0.500 0.500
Zn2 0.500 0.000 0.500
Zn3 0.500 0.500 0.000

*B*
A plane-wave DFT calculation with GGA-PBE was carried out for a geometry-optimized CaMnZn3 structure.

magnetization: 4.08 μB per formula unit
N(E_F): 1.0701 states/eV per atom

Cell lengths 5.486, 5.486, 5.486 Å; angles 90.00, 90.00, 90.00 degrees
Fractional coordinates of all 5 atoms:
Ca1 0.000 0.000 0.000
Mn1 0.500 0.500 0.500
Zn1 0.000 0.000 0.500
Zn2 0.000 0.500 0.000
Zn3 0.500 0.000 0.000

Stability, lowest: *B*

*A*
A plane-wave DFT calculation with GGA-PBE was carried out for a geometry-optimized CaZr2Mn structure.

magnetization: 0.58 μB per formula unit
N(E_F): 0.9194 states/eV per atom

Cell lengths 5.083, 5.083, 5.083 Å; angles 60.00, 60.00, 60.00 degrees
Fractional coordinates of all 4 atoms:
Ca1 0.000 0.000 0.000
Zr1 0.500 0.500 0.500
Zr2 0.750 0.750 0.750
Mn1 0.250 0.250 0.250

*B*
A plane-wave DFT calculation with GGA-PBE was carried out for a geometry-optimized CaZr2Mn structure.

magnetization: 2.90 μB per formula unit
N(E_F): 1.4836 states/eV per atom

Cell lengths 6.246, 6.246, 3.113 Å; angles 102.09, 102.09, 121.82 degrees
Fractional coordinates of all 4 atoms:
Ca1 0.000 0.000 0.000
Zr1 0.000 0.500 0.500
Zr2 0.500 0.000 0.500
Mn1 0.500 0.500 0.000

Stability, lowest: *B*

*A*
A plane-wave DFT calculation with GGA-PBE was carried out for a geometry-optimized CaZr2Mn structure.

magnetization: 3.11 μB per formula unit
N(E_F): 1.1157 states/eV per atom

Cell lengths 3.338, 3.338, 8.622 Å; angles 90.00, 90.00, 90.00 degrees
Fractional coordinates of all 4 atoms:
Ca1 0.000 0.000 0.000
Zr1 0.000 0.000 0.433
Zr2 0.500 0.500 0.668
Mn1 0.500 0.500 0.259

*B*
A plane-wave DFT calculation with GGA-PBE was carried out for a geometry-optimized CaZr2Mn structure.

magnetization: 0.00 μB per formula unit
N(E_F): 0.9384 states/eV per atom

Cell lengths 4.863, 4.863, 4.863 Å; angles 60.00, 60.00, 60.00 degrees
Fractional coordinates of all 4 atoms:
Ca1 0.000 0.000 0.000
Zr1 0.250 0.250 0.250
Zr2 0.750 0.750 0.750
Mn1 0.500 0.500 0.500

Stability, lowest: *B*

*A*
A plane-wave DFT calculation with GGA-PBE was carried out for a geometry-optimized CaZr2Mn structure.

magnetization: 0.87 μB per formula unit
N(E_F): 0.7850 states/eV per atom

Cell lengths 9.802, 9.802, 9.802 Å; angles 19.76, 19.76, 19.76 degrees
Fractional coordinates of all 4 atoms:
Ca1 0.000 0.000 0.000
Zr1 0.228 0.228 0.228
Zr2 0.772 0.772 0.772
Mn1 0.500 0.500 0.500

*B*
A plane-wave DFT calculation with GGA-PBE was carried out for a geometry-optimized CaZr2Mn structure.

magnetization: 0.66 μB per formula unit
N(E_F): 1.1972 states/eV per atom

Cell lengths 5.945, 5.945, 5.945 Å; angles 147.94, 125.46, 64.69 degrees
Fractional coordinates of all 4 atoms:
Ca1 0.000 0.000 0.000
Zr1 0.303 0.803 0.500
Zr2 0.697 0.197 0.500
Mn1 0.500 0.500 0.000

Stability, lowest: *A*

*A*
A plane-wave DFT calculation with GGA-PBE was carried out for a geometry-optimized CaZr2Mn structure.

magnetization: 0.00 μB per formula unit
N(E_F): 1.6373 states/eV per atom

Cell lengths 7.248, 7.248, 7.248 Å; angles 120.14, 120.14, 89.75 degrees
Fractional coordinates of all 8 atoms:
Ca1 0.375 0.625 0.750
Ca2 0.625 0.375 0.250
Zr1 0.000 0.000 0.000
Zr2 0.000 0.000 0.500
Zr3 0.000 0.500 0.000
Zr4 0.500 0.000 0.500
Mn1 0.125 0.875 0.250
Mn2 0.875 0.125 0.750

*B*
A plane-wave DFT calculation with GGA-PBE was carried out for a geometry-optimized CaZr2Mn structure.

magnetization: 0.00 μB per formula unit
N(E_F): 1.1142 states/eV per atom

Cell lengths 3.179, 3.179, 9.192 Å; angles 90.00, 90.08, 90.00 degrees
Fractional coordinates of all 4 atoms:
Ca1 0.000 0.000 0.000
Zr1 0.498 0.500 0.668
Zr2 0.502 0.500 0.332
Mn1 0.000 0.000 0.500

*C*
A plane-wave DFT calculation with GGA-PBE was carried out for a geometry-optimized CaZr2Mn structure.

magnetization: 2.92 μB per formula unit
N(E_F): 1.1722 states/eV per atom

Cell lengths 5.546, 5.546, 5.546 Å; angles 132.02, 132.02, 70.20 degrees
Fractional coordinates of all 4 atoms:
Ca1 0.000 0.000 0.000
Zr1 0.500 0.500 0.000
Zr2 0.750 0.250 0.500
Mn1 0.250 0.750 0.500

Stability, lowest: *A*

*A*
A plane-wave DFT calculation with GGA-PBE was carried out for a geometry-optimized Ca5Mo3 structure.

magnetization: 0.00 μB per formula unit
N(E_F): 1.2368 states/eV per atom

Cell lengths 7.266, 7.266, 4.211 Å; angles 90.00, 90.00, 97.04 degrees
Fractional coordinates of all 8 atoms:
Ca1 0.000 0.000 0.000
Ca2 0.000 0.500 0.000
Ca3 0.260 0.740 0.500
Ca4 0.500 0.000 0.000
Ca5 0.740 0.260 0.500
Mo1 0.349 0.349 0.500
Mo2 0.500 0.500 0.000
Mo3 0.651 0.651 0.500

*B*
A plane-wave DFT calculation with GGA-PBE was carried out for a geometry-optimized Ca5Mo3 structure.

magnetization: 7.97 μB per formula unit
N(E_F): 0.8061 states/eV per atom

Cell lengths 9.258, 9.258, 9.258 Å; angles 95.42, 95.42, 144.19 degrees
Fractional coordinates of all 16 atoms:
Ca1 0.080 0.782 0.862
Ca2 0.218 0.080 0.299
Ca3 0.250 0.750 0.500
Ca4 0.282 0.580 0.862
Ca5 0.420 0.282 0.701
Ca6 0.580 0.718 0.299
Ca7 0.718 0.420 0.138
Ca8 0.750 0.250 0.500
Ca9 0.782 0.920 0.701
Ca10 0.920 0.218 0.138
Mo1 0.169 0.331 0.500
Mo2 0.250 0.250 0.000
Mo3 0.331 0.831 0.163
Mo4 0.669 0.169 0.837
Mo5 0.750 0.750 0.000
Mo6 0.831 0.669 0.500

Stability, lowest: *B*

*A*
A plane-wave DFT calculation with GGA-PBE was carried out for a geometry-optimized CaMo structure.

magnetization: 0.00 μB per formula unit
N(E_F): 0.6386 states/eV per atom

Cell lengths 9.452, 3.500, 6.317 Å; angles 90.00, 90.00, 90.00 degrees
Fractional coordinates of all 8 atoms:
Ca1 0.188 0.250 0.081
Ca2 0.312 0.750 0.581
Ca3 0.688 0.250 0.419
Ca4 0.812 0.750 0.919
Mo1 0.022 0.250 0.622
Mo2 0.478 0.750 0.122
Mo3 0.522 0.250 0.878
Mo4 0.978 0.750 0.378

*B*
A plane-wave DFT calculation with GGA-PBE was carried out for a geometry-optimized CaMo structure.

magnetization: 0.00 μB per formula unit
N(E_F): 1.1678 states/eV per atom

Cell lengths 8.661, 7.884, 5.477 Å; angles 78.56, 63.15, 38.30 degrees
Fractional coordinates of all 8 atoms:
Ca1 0.040 0.710 0.040
Ca2 0.290 0.960 0.290
Ca3 0.710 0.040 0.710
Ca4 0.960 0.290 0.960
Mo1 0.301 0.301 0.449
Mo2 0.449 0.449 0.301
Mo3 0.551 0.551 0.699
Mo4 0.699 0.699 0.551

*C*
A plane-wave DFT calculation with GGA-PBE was carried out for a geometry-optimized CaMo structure.

magnetization: 0.00 μB per formula unit
N(E_F): 1.1743 states/eV per atom

Cell lengths 4.449, 3.071, 7.107 Å; angles 90.00, 90.00, 90.00 degrees
Fractional coordinates of all 4 atoms:
Ca1 0.250 0.000 0.182
Ca2 0.750 0.000 0.818
Mo1 0.250 0.500 0.574
Mo2 0.750 0.500 0.426

*D*
A plane-wave DFT calculation with GGA-PBE was carried out for a geometry-optimized CaMo structure.

magnetization: 0.16 μB per formula unit
N(E_F): 0.9374 states/eV per atom

Cell lengths 8.478, 8.478, 8.478 Å; angles 28.43, 28.43, 28.43 degrees
Fractional coordinates of all 4 atoms:
Ca1 0.094 0.094 0.094
Ca2 0.906 0.906 0.906
Mo1 0.333 0.333 0.333
Mo2 0.667 0.667 0.667

Stability, lowest: *B*

*A*
A plane-wave DFT calculation with GGA-PBE was carried out for a geometry-optimized CaMo5 structure.

magnetization: 0.00 μB per formula unit
N(E_F): 0.4275 states/eV per atom

Cell lengths 5.340, 5.340, 5.340 Å; angles 60.00, 60.00, 60.00 degrees
Fractional coordinates of all 6 atoms:
Ca1 0.000 0.000 0.000
Mo1 0.375 0.375 0.375
Mo2 0.375 0.375 0.874
Mo3 0.375 0.874 0.375
Mo4 0.750 0.750 0.750
Mo5 0.874 0.375 0.375

*B*
A plane-wave DFT calculation with GGA-PBE was carried out for a geometry-optimized CaMo5 structure.

magnetization: 0.00 μB per formula unit
N(E_F): 0.9530 states/eV per atom

Cell lengths 7.003, 7.003, 4.761 Å; angles 90.00, 90.00, 153.66 degrees
Fractional coordinates of all 6 atoms:
Ca1 0.000 0.000 0.000
Mo1 0.165 0.835 0.500
Mo2 0.320 0.680 0.000
Mo3 0.500 0.500 0.500
Mo4 0.680 0.320 0.000
Mo5 0.835 0.165 0.500

Stability, lowest: *B*

*A*
A plane-wave DFT calculation with GGA-PBE was carried out for a geometry-optimized Ca2MoN3 structure.

magnetization: 0.00 μB per formula unit
N(E_F): 0.2557 states/eV per atom

Cell lengths 5.864, 5.864, 6.279 Å; angles 105.81, 105.81, 52.28 degrees
Fractional coordinates of all 12 atoms:
Ca1 0.177 0.178 0.589
Ca2 0.178 0.177 0.089
Ca3 0.822 0.823 0.911
Ca4 0.823 0.822 0.411
Mo1 0.434 0.566 0.750
Mo2 0.566 0.434 0.250
N1 0.085 0.915 0.750
N2 0.351 0.363 0.931
N3 0.363 0.351 0.431
N4 0.637 0.649 0.569
N5 0.649 0.637 0.069
N6 0.915 0.085 0.250

*B*
A plane-wave DFT calculation with GGA-PBE was carried out for a geometry-optimized Ca2MoN3 structure.

magnetization: 0.00 μB per formula unit
N(E_F): 0.3745 states/eV per atom

Cell lengths 6.042, 6.042, 12.013 Å; angles 92.57, 92.57, 125.19 degrees
Fractional coordinates of all 24 atoms:
Ca1 0.022 0.430 0.358
Ca2 0.116 0.343 0.923
Ca3 0.343 0.116 0.423
Ca4 0.430 0.022 0.858
Ca5 0.570 0.978 0.142
Ca6 0.657 0.884 0.577
Ca7 0.884 0.657 0.077
Ca8 0.978 0.570 0.642
Mo1 0.278 0.284 0.166
Mo2 0.284 0.278 0.666
Mo3 0.716 0.722 0.334
Mo4 0.722 0.716 0.834
N1 0.007 0.993 0.750
N2 0.140 0.322 0.536
N3 0.161 0.499 0.124
N4 0.322 0.140 0.036
N5 0.374 0.626 0.750
N6 0.499 0.161 0.624
N7 0.501 0.839 0.376
N8 0.626 0.374 0.250
N9 0.678 0.860 0.964
N10 0.839 0.501 0.876
N11 0.860 0.678 0.464
N12 0.993 0.007 0.250

Stability, lowest: *A*

*A*
A plane-wave DFT calculation with GGA-PBE was carried out for a geometry-optimized CaMoSe2N structure.

magnetization: 0.13 μB per formula unit
N(E_F): 0.3048 states/eV per atom

Cell lengths 5.150, 5.150, 3.847 Å; angles 90.00, 90.00, 90.00 degrees
Fractional coordinates of all 5 atoms:
Ca1 0.000 0.000 0.000
Mo1 0.500 0.500 0.500
Se1 0.000 0.500 0.500
Se2 0.500 0.000 0.500
N1 0.500 0.500 0.000

*B*
A plane-wave DFT calculation with GGA-PBE was carried out for a geometry-optimized CaMoSe2N structure.

magnetization: 1.02 μB per formula unit
N(E_F): 0.6178 states/eV per atom

Cell lengths 5.415, 5.415, 4.342 Å; angles 90.00, 90.00, 90.00 degrees
Fractional coordinates of all 5 atoms:
Ca1 0.000 0.000 0.000
Mo1 0.500 0.500 0.500
Se1 0.000 0.500 0.000
Se2 0.500 0.000 0.000
N1 0.000 0.000 0.500

Stability, lowest: *B*

*A*
A plane-wave DFT calculation with GGA-PBE was carried out for a geometry-optimized CaMoSeN2 structure.

magnetization: 1.93 μB per formula unit
N(E_F): 1.0519 states/eV per atom

Cell lengths 4.064, 4.064, 5.291 Å; angles 90.00, 90.00, 90.00 degrees
Fractional coordinates of all 5 atoms:
Ca1 0.000 0.000 0.000
Mo1 0.500 0.500 0.500
Se1 0.000 0.000 0.500
N1 0.000 0.500 0.000
N2 0.500 0.000 0.000

*B*
A plane-wave DFT calculation with GGA-PBE was carried out for a geometry-optimized CaMoSeN2 structure.

magnetization: 0.00 μB per formula unit
N(E_F): 0.1756 states/eV per atom

Cell lengths 3.987, 3.987, 5.262 Å; angles 90.00, 90.00, 90.00 degrees
Fractional coordinates of all 5 atoms:
Ca1 0.000 0.000 0.000
Mo1 0.500 0.500 0.500
Se1 0.500 0.500 0.000
N1 0.000 0.500 0.500
N2 0.500 0.000 0.500

Stability, lowest: *A*